# PBE NaTi2P3O12, relaxed
data_NaTi2P3O12
_chemical_formula_sum 'Na2 Ti4 P6 O24'
_cell_length_a 8.867
_cell_length_b 8.867
_cell_length_c 8.867
_cell_angle_alpha 58.13
_cell_angle_beta 58.13
_cell_angle_gamma 58.13
_space_group_name_H-M_alt 'P 1'
_space_group_IT_number 1
loop_
_space_group_symop_operation_xyz
'x,y,z'
loop_
_atom_site_label
_atom_site_type_symbol
_atom_site_fract_x
_atom_site_fract_y
_atom_site_fract_z
Na1 Na 0.500 0.500 0.500
Na2 Na 0.000 0.000 0.000
Ti1 Ti 0.855 0.855 0.855
Ti2 Ti 0.645 0.645 0.645
Ti3 Ti 0.355 0.355 0.355
Ti4 Ti 0.145 0.145 0.145
P1 P 0.963 0.250 0.537
P2 P 0.537 0.963 0.250
P3 P 0.037 0.750 0.463
P4 P 0.463 0.037 0.750
P5 P 0.250 0.537 0.963
P6 P 0.750 0.463 0.037
O1 O 0.923 0.280 0.060
O2 O 0.060 0.923 0.280
O3 O 0.280 0.060 0.923
O4 O 0.577 0.440 0.220
O5 O 0.220 0.577 0.440
O6 O 0.440 0.220 0.577
O7 O 0.077 0.720 0.940
O8 O 0.940 0.077 0.720
O9 O 0.720 0.940 0.077
O10 O 0.423 0.560 0.780
O11 O 0.780 0.423 0.560
O12 O 0.560 0.780 0.423
O13 O 0.497 0.868 0.713
O14 O 0.868 0.713 0.497
O15 O 0.713 0.497 0.868
O16 O 0.632 0.003 0.787
O17 O 0.003 0.787 0.632
O18 O 0.787 0.632 0.003
O19 O 0.503 0.132 0.287
O20 O 0.132 0.287 0.503
O21 O 0.287 0.503 0.132
O22 O 0.368 0.997 0.213
O23 O 0.997 0.213 0.368
O24 O 0.213 0.368 0.997
# - E_form (uncorrected) (eV/f.u.) = -46.0
# - E above lowest polymorph (eV/atom) = 0.000